1.
{
  "formula": "Pr3Ni4Ge4",
  "functional": "SCAN",
  "state": "PBEsol geometry",
  "e_form_mev_per_atom": -711,
  "energy_ev_per_fu": -278.848,
  "sg": "Immm (71)",
  "m_tot_mub_per_fu": 0.00,
  "mass_density_g_cm3": 7.84,
  "lattice": [[-2.047, 2.055, 11.935], [2.047, -2.055, 11.935], [2.047, 2.055, -11.935]],
  "species": ["Pr", "Pr", "Pr", "Ni", "Ni", "Ni", "Ni", "Ge", "Ge", "Ge", "Ge"],
  "fractional_positions": [[0.000, 0.000, 0.000], [0.148, 0.648, 0.500], [0.852, 0.352, 0.500], [0.301, 0.801, 0.500], [0.450, 0.450, 0.000], [0.550, 0.550, 0.000], [0.699, 0.199, 0.500], [0.250, 0.250, 0.000], [0.400, 0.900, 0.500], [0.600, 0.100, 0.500], [0.750, 0.750, 0.000]]
}



2.
{
  "formula": "ZnSOF2",
  "functional": "SCAN",
  "state": "PBEsol geometry",
  "energy_ev_per_fu": -38.532,
  "polymorph_energy_mev_per_atom": 209,
  "raw_formation_energy_ev_per_atom": -0.42,
  "sg": "P4/mmm (123)",
  "m_tot_mub_per_fu": 0.71,
  "mass_density_g_cm3": 3.81,
  "lattice": [[4.423, 0.000, 0.000], [0.000, 4.423, 0.000], [0.000, 0.000, 3.379]],
  "species": ["Zn", "S", "O", "F", "F"],
  "fractional_positions": [[0.000, 0.000, 0.000], [0.500, 0.500, 0.500], [0.500, 0.500, 0.000], [0.000, 0.500, 0.500], [0.500, 0.000, 0.500]]
}



3.
{
  "formula": "ZnNi2",
  "functional": "SCAN",
  "state": "PBEsol geometry",
  "e_form_mev_per_atom": -75,
  "energy_ev_per_fu": -46.087,
  "sg": "Cm (8)",
  "m_tot_mub_per_fu": 0.87,
  "mass_density_g_cm3": 9.13,
  "lattice": [[4.595, -1.265, 0.000], [4.595, 1.265, 0.000], [-1.517, 0.000, 5.723]],
  "species": ["Zn", "Zn", "Ni", "Ni", "Ni", "Ni"],
  "fractional_positions": [[0.000, 0.000, 0.000], [0.680, 0.680, 0.351], [0.282, 0.282, 0.066], [0.341, 0.341, 0.675], [0.621, 0.621, 0.735], [0.956, 0.956, 0.402]]
}



4.
{
  "formula": "KCd2Au",
  "functional": "SCAN",
  "state": "PBEsol geometry",
  "e_form_mev_per_atom": -139,
  "energy_ev_per_fu": -138.869,
  "sg": "Pm (6)",
  "m_tot_mub_per_fu": 0.00,
  "mass_density_g_cm3": 6.93,
  "lattice": [[3.746, 0.000, 0.000], [0.000, 4.532, 0.000], [-1.848, 0.000, 6.503]],
  "species": ["K", "Cd", "Cd", "Au"],
  "fractional_positions": [[0.000, 0.000, 0.000], [0.289, 0.500, 0.586], [0.741, 0.000, 0.489], [0.620, 0.500, 0.244]]
}



What did the third record say?
{
  "formula": "ZnNi2",
  "functional": "SCAN",
  "state": "PBEsol geometry",
  "e_form_mev_per_atom": -75,
  "energy_ev_per_fu": -46.087,
  "sg": "Cm (8)",
  "m_tot_mub_per_fu": 0.87,
  "mass_density_g_cm3": 9.13,
  "lattice": [[4.595, -1.265, 0.000], [4.595, 1.265, 0.000], [-1.517, 0.000, 5.723]],
  "species": ["Zn", "Zn", "Ni", "Ni", "Ni", "Ni"],
  "fractional_positions": [[0.000, 0.000, 0.000], [0.680, 0.680, 0.351], [0.282, 0.282, 0.066], [0.341, 0.341, 0.675], [0.621, 0.621, 0.735], [0.956, 0.956, 0.402]]
}